No. 1
Compound: ScCr2Se
Source: Alexandria via LeMat-Bulk
Functional: PBE
Structure: relaxed

Values from the calculation:
The calculation puts the total energy at -29.03 eV for the cell shown. The calculation puts the density of states at the Fermi level at 3.30 states/eV/cell. The uncorrected formation energy comes out at 0.009 eV/atom. As for the space group: Imm2, No. 44.

Unit cell a=5.112 b=5.112 c=5.112 alpha=139.25 beta=128.49 gamma=67.67
Last column: magnetic moment on the atom in μB.
Atoms (fractional coordinates):
1 Cr 0.999 0.999 0.000  -3.02
2 Cr 0.766 0.266 0.500  3.02
3 Sc 0.497 0.497 0.000  -0.01
4 Se 0.237 0.737 0.500  -0.02

---

No. 2
Compound: ScCrSe2
Source: Alexandria via LeMat-Bulk
Functional: PBE
Structure: relaxed

Values from the calculation:
The calculation puts the total energy at -26.60 eV for the cell shown. The calculation puts the density of states at the Fermi level at 3.48 states/eV/cell. The uncorrected formation energy comes out at -0.920 eV/atom. The energy above the most stable polymorph in this dataset is 57 meV per atom. As for the space group: R-3m, No. 166.

Unit cell a=3.901 b=3.901 c=6.580 alpha=72.79 beta=72.79 gamma=59.95
Last column: magnetic moment on the atom in μB.
Atoms (fractional coordinates):
1 Cr 0.750 0.750 0.750  3.80
2 Sc 0.250 0.250 0.250  0.08
3 Se 0.001 0.001 0.995  0.00
4 Se 0.499 0.499 0.505  0.00

---

No. 3
Compound: ScCrSe2
Source: Alexandria via LeMat-Bulk
Functional: PBE
Structure: relaxed

Values from the calculation:
The calculation puts the total energy at -26.68 eV for the cell shown. The calculation puts the density of states at the Fermi level at 2.84 states/eV/cell. The uncorrected formation energy comes out at -0.938 eV/atom. The energy above the most stable polymorph in this dataset is 39 meV per atom. As for the space group: Amm2, No. 38.

Unit cell a=6.522 b=6.522 c=3.672 alpha=90.01 beta=90.01 gamma=31.87
Last column: magnetic moment on the atom in μB.
Atoms (fractional coordinates):
1 Cr 0.512 0.512 0.625  3.56
2 Sc 0.300 0.300 0.125  0.03
3 Se 0.970 0.970 0.125  -0.04
4 Se 0.719 0.719 0.625  0.01

---

No. 4
Compound: ScCrSe2
Source: Alexandria via LeMat-Bulk
Functional: PBE
Structure: relaxed

Values from the calculation:
The calculation puts the total energy at -52.29 eV for the cell shown. The calculation puts the density of states at the Fermi level at 0.38 states/eV/cell. The uncorrected formation energy comes out at -0.806 eV/atom. The energy above the most stable polymorph in this dataset is 171 meV per atom. As for the space group: I-42d, No. 122.

Unit cell a=5.909 b=5.909 c=7.438 alpha=66.59 beta=66.59 gamma=90.00
Last column: magnetic moment on the atom in μB.
Atoms (fractional coordinates):
1 Sc 0.500 0.500 0.000  0.36
2 Sc 0.250 0.750 0.500  0.36
3 Cr 0.000 0.000 0.000  3.92
4 Cr 0.750 0.250 0.500  3.92
5 Se 0.629 0.125 0.250  -0.03
6 Se 0.121 0.625 0.250  -0.04
7 Se 0.375 0.371 0.750  -0.03
8 Se 0.875 0.879 0.750  -0.04

---

No. 5
Compound: ScCrSe
Source: Alexandria via LeMat-Bulk
Functional: PBE
Structure: relaxed

Values from the calculation:
The calculation puts the total energy at -84.87 eV for the cell shown. The calculation puts the density of states at the Fermi level at 7.10 states/eV/cell. The uncorrected formation energy comes out at -0.593 eV/atom. The energy above the most stable polymorph in this dataset is 51 meV per atom. As for the space group: Cm, No. 8.

Unit cell a=5.441 b=3.806 c=11.239 alpha=90.00 beta=108.48 gamma=90.00
Last column: magnetic moment on the atom in μB.
Atoms (fractional coordinates):
1 Sc 0.582 0.000 0.443  0.08
2 Sc 0.582 0.500 0.943  0.08
3 Sc 0.137 0.000 0.056  0.14
4 Sc 0.137 0.500 0.556  0.14
5 Cr 0.007 0.000 0.349  -2.15
6 Cr 0.007 0.500 0.849  -2.15
7 Cr 0.748 0.000 0.782  2.55
8 Cr 0.748 0.500 0.282  2.55
9 Se 0.267 0.000 0.778  0.00
10 Se 0.267 0.500 0.278  0.00
11 Se 0.680 0.000 0.121  0.01
12 Se 0.680 0.500 0.621  0.01

---

No. 6
Compound: Sc2CrSe
Source: Alexandria via LeMat-Bulk
Functional: PBE
Structure: relaxed

Values from the calculation:
The calculation puts the total energy at -26.69 eV for the cell shown. The calculation puts the density of states at the Fermi level at 4.20 states/eV/cell. The uncorrected formation energy comes out at -0.229 eV/atom. As for the space group: I4/mmm, No. 139.

Unit cell a=5.207 b=5.207 c=5.207 alpha=132.43 beta=132.38 gamma=69.59
Last column: magnetic moment on the atom in μB.
Atoms (fractional coordinates):
1 Cr 0.250 0.750 0.500  3.25
2 Sc 0.000 0.000 0.000  -0.32
3 Sc 0.500 0.500 0.000  -0.32
4 Se 0.750 0.250 0.500  0.01

---

No. 7
Compound: ScCr2Se
Source: Alexandria via LeMat-Bulk
Functional: PBE
Structure: relaxed

Values from the calculation:
The calculation puts the total energy at -55.82 eV for the cell shown. The calculation puts the density of states at the Fermi level at 8.29 states/eV/cell. The uncorrected formation energy comes out at 0.289 eV/atom. As for the space group: I-42d, No. 122.

Unit cell a=7.559 b=7.559 c=5.985 alpha=50.84 beta=50.84 gamma=90.00
Last column: magnetic moment on the atom in μB.
Atoms (fractional coordinates):
1 Sc 0.500 0.500 0.000  -0.14
2 Sc 0.250 0.750 0.500  -0.14
3 Cr 0.685 0.125 0.250  3.09
4 Cr 0.065 0.625 0.250  3.08
5 Cr 0.375 0.315 0.750  3.11
6 Cr 0.875 0.935 0.750  3.10
7 Se 0.000 0.000 0.000  -0.06
8 Se 0.750 0.250 0.500  -0.06

---

No. 8
Compound: Sc2CrSe
Source: Alexandria via LeMat-Bulk
Functional: PBE
Structure: relaxed

Values from the calculation:
The calculation puts the total energy at -27.46 eV for the cell shown. The calculation puts the density of states at the Fermi level at 2.69 states/eV/cell. The uncorrected formation energy comes out at -0.422 eV/atom. As for the space group: R-3m, No. 166.

Unit cell a=3.512 b=3.512 c=8.003 alpha=77.37 beta=77.37 gamma=59.98
Last column: magnetic moment on the atom in μB.
Atoms (fractional coordinates):
1 Cr 0.750 0.750 0.750  3.27
2 Sc 0.994 0.994 0.017  -0.03
3 Sc 0.506 0.506 0.483  -0.03
4 Se 0.250 0.250 0.250  0.02

---

No. 9
Compound: ScCr2Se
Source: Alexandria via LeMat-Bulk
Functional: PBE
Structure: relaxed

Values from the calculation:
The calculation puts the total energy at -29.87 eV for the cell shown. The calculation puts the density of states at the Fermi level at 3.88 states/eV/cell. The uncorrected formation energy comes out at -0.202 eV/atom. As for the space group: Amm2, No. 38.

Unit cell a=3.426 b=3.467 c=6.267 alpha=73.97 beta=90.00 gamma=90.00
Last column: magnetic moment on the atom in μB.
Atoms (fractional coordinates):
1 Cr 0.000 0.792 0.042  -3.21
2 Cr 0.500 0.196 0.233  2.89
3 Sc 0.000 0.551 0.522  -0.28
4 Se 0.500 0.960 0.704  0.03

---

No. 10
Compound: Sc2CrSe4
Source: Alexandria via LeMat-Bulk
Functional: PBE
Structure: relaxed

Values from the calculation:
The calculation puts the total energy at -45.30 eV for the cell shown. The calculation puts the density of states at the Fermi level at 2.89 states/eV/cell. The uncorrected formation energy comes out at -1.296 eV/atom. As for the space group: C2/m, No. 12.

Unit cell a=3.821 b=6.667 c=7.283 alpha=117.65 beta=105.21 gamma=90.00
Last column: magnetic moment on the atom in μB.
Atoms (fractional coordinates):
1 Sc 0.737 0.751 0.474  0.12
2 Sc 0.263 0.249 0.526  0.12
3 Cr 0.000 0.000 0.000  3.43
4 Se 0.884 0.204 0.767  -0.02
5 Se 0.116 0.796 0.233  -0.02
6 Se 0.628 0.283 0.256  -0.04
7 Se 0.372 0.717 0.744  -0.04

---

No. 11
Compound: ScCrSe
Source: Alexandria via LeMat-Bulk
Functional: PBE
Structure: relaxed

Values from the calculation:
The calculation puts the total energy at -19.08 eV for the cell shown. The calculation puts the density of states at the Fermi level at 2.06 states/eV/cell. The uncorrected formation energy comes out at 0.121 eV/atom. The energy above the most stable polymorph in this dataset is 765 meV per atom. As for the space group: F-43m, No. 216.

Unit cell a=4.585 b=4.585 c=4.585 alpha=60.00 beta=60.00 gamma=60.00
Last column: magnetic moment on the atom in μB.
Atoms (fractional coordinates):
1 Cr 0.500 0.500 0.500  3.90
2 Sc 0.750 0.750 0.750  0.16
3 Se 0.000 0.000 0.000  0.03

---

No. 12
Compound: Sc2CrSe
Source: Alexandria via LeMat-Bulk
Functional: PBE
Structure: relaxed

Values from the calculation:
The calculation puts the total energy at -25.23 eV for the cell shown. The calculation puts the density of states at the Fermi level at 3.61 states/eV/cell. The uncorrected formation energy comes out at 0.135 eV/atom. As for the space group: R-3m, No. 166.

Unit cell a=9.405 b=9.405 c=9.405 alpha=20.89 beta=20.89 gamma=20.89
Last column: magnetic moment on the atom in μB.
Atoms (fractional coordinates):
1 Sc 0.909 0.909 0.909  -0.08
2 Sc 0.091 0.091 0.091  -0.08
3 Cr 0.500 0.500 0.500  3.20
4 Se 0.000 0.000 0.000  0.01

---

No. 13
Compound: ScCrSe
Source: Alexandria via LeMat-Bulk
Functional: PBE
Structure: relaxed

Values from the calculation:
The calculation puts the total energy at -20.13 eV for the cell shown. The calculation puts the density of states at the Fermi level at 2.74 states/eV/cell. The uncorrected formation energy comes out at -0.230 eV/atom. The energy above the most stable polymorph in this dataset is 414 meV per atom. As for the space group: F-43m, No. 216.

Unit cell a=4.327 b=4.327 c=4.327 alpha=60.00 beta=60.00 gamma=60.00
Last column: magnetic moment on the atom in μB.
Atoms (fractional coordinates):
1 Cr 0.000 0.000 0.000  3.06
2 Sc 0.500 0.500 0.500  -0.31
3 Se 0.750 0.750 0.750  -0.03

---

No. 14
Compound: Sc2CrSe
Source: Alexandria via LeMat-Bulk
Functional: PBE
Structure: relaxed

Values from the calculation:
The calculation puts the total energy at -26.98 eV for the cell shown. The calculation puts the density of states at the Fermi level at 4.50 states/eV/cell. The uncorrected formation energy comes out at -0.302 eV/atom. As for the space group: P4mm, No. 99.

Unit cell a=3.725 b=3.725 c=5.768 alpha=90.00 beta=90.00 gamma=90.00
Last column: magnetic moment on the atom in μB.
Atoms (fractional coordinates):
1 Cr 0.500 0.500 0.778  3.46
2 Sc 0.000 0.000 0.972  0.02
3 Sc 0.500 0.500 0.283  0.04
4 Se 0.000 0.000 0.468  0.01